No. 1
An optimized crystal structure of Sc2FeBiPd. Source: Alexandria via LeMat-Bulk, functional PBE.

Lattice parameters (Å, degrees): 5.035 5.035 4.728 90.00 90.00 90.00
Space group P4/mmm (No. 123)
One atom of each set of equivalent atoms:
1 Sc 0.000 0.500 0.000
2 Fe 0.000 0.000 0.500
3 Bi 0.500 0.500 0.500
4 Pd 0.000 0.000 0.000

Properties
magnetic moment = 0.48 μB per atom
calculated formation energy = 35 meV/atom

***

No. 2
An optimized crystal structure of MgTl2B. Source: Alexandria via LeMat-Bulk, functional PBE.

Lattice parameters (Å, degrees): 6.503 6.503 10.426 90.00 90.00 90.00
Space group I-42d (No. 122)
One atom of each set of equivalent atoms:
1 Mg 0.000 0.000 0.000
2 Tl 0.145 0.250 0.625
3 B 0.000 0.000 0.500

Properties
energy relative to the lowest polymorph listed for this composition = 0.000 eV per atom
magnetic moment = 0.00 μB per atom
calculated formation energy = 790 meV/atom

***

No. 3
An optimized crystal structure of NaSr6Pt2. Source: Alexandria via LeMat-Bulk, functional PBE.

Lattice parameters (Å, degrees): 10.464 10.941 11.741 90.00 90.00 90.00
Space group Immm (No. 71)
One atom of each set of equivalent atoms:
1 Na 0.000 0.000 0.000
2 Na 0.000 0.000 0.500
3 Sr 0.000 0.210 0.238
4 Sr 0.175 0.500 0.161
5 Sr 0.206 0.325 0.500
6 Pt 0.000 0.314 0.000
7 Pt 0.000 0.500 0.372

Properties
magnetic moment = 0.00 μB per atom
calculated formation energy = -444 meV/atom